First-principles (PBE-GGA) data for crystalline K3HO at its relaxed geometry, as listed in Alexandria via LeMat-Bulk.

Unit cell a=5.2061 b=5.2061 c=5.2061 alpha=90.00 beta=90.00 gamma=90.00
With the nearest neighbours (Å) after each atom.
Element x y z (fractional)
H (0.5000, 0.5000, 0.5000)  12 K 3.68
K (0.0000, 0.5000, 0.0000)  2 O 2.60
K (0.0000, 0.0000, 0.5000)  2 O 2.60
K (0.5000, 0.0000, 0.0000)  2 O 2.60
O (0.0000, 0.0000, 0.0000)  6 K 2.60

- Calculated total energy: -2.94 eV/atom
- Volume: 28.22 A^3/atom
- Theoretical density: 1.6 Mg/m³
- Magnetic moment: 0.000 μB/cell
- Space-group type: Pm-3m (221)
- Distance to the lowest polymorph of the same formula: 0.320 eV per formula unit
- DOS at the Fermi energy: 0.000 states/eV/cell

***

First-principles (PBE-GGA) data for crystalline KHO2 at its relaxed geometry, as listed in Alexandria via LeMat-Bulk.

Unit cell a=4.2785 b=4.2785 c=4.2785 alpha=60.00 beta=60.00 gamma=60.00
With the nearest neighbours (Å) after each atom.
Element x y z (fractional)
H (0.0000, 0.0000, 0.0000)  8 O 2.62
K (0.5000, 0.5000, 0.5000)  8 O 2.62
O (0.2500, 0.2500, 0.2500)  4 K 2.62, 4 H 2.62
O (0.7500, 0.7500, 0.7500)  4 K 2.62, 4 H 2.62

- Calculated total energy: -2.88 eV/atom
- Volume: 13.84 A^3/atom
- Theoretical density: 2.2 Mg/m³
- Magnetic moment: 2.000 μB/cell
- Space-group type: Fm-3m (225)
- Distance to the lowest polymorph of the same formula: 6.394 eV per formula unit
- DOS at the Fermi energy: 3.127 states/eV/cell

***

First-principles (PBE-GGA) data for crystalline K2H6O at its relaxed geometry, as listed in Alexandria via LeMat-Bulk.

Unit cell a=5.4966 b=5.4966 c=5.4966 alpha=60.00 beta=60.00 gamma=60.00
With the nearest neighbours (Å) after each atom.
Element x y z (fractional)
H (0.1945, 0.8055, 0.1945)  1 O 1.51
H (0.8055, 0.1945, 0.1945)  1 O 1.51
H (0.1945, 0.8055, 0.8055)  1 O 1.51
H (0.8055, 0.1945, 0.8055)  1 O 1.51
H (0.8055, 0.8055, 0.1945)  1 O 1.51
H (0.1945, 0.1945, 0.8055)  1 O 1.51
K (0.7500, 0.7500, 0.7500)  12 H 2.78
K (0.2500, 0.2500, 0.2500)  12 H 2.78
O (0.0000, 0.0000, 0.0000)  6 H 1.51

- Calculated total energy: -2.38 eV/atom
- Volume: 13.05 A^3/atom
- Theoretical density: 1.4 Mg/m³
- Magnetic moment: 0.000 μB/cell
- Space-group type: Fm-3m (225)
- DOS at the Fermi energy: 1.678 states/eV/cell

***

First-principles (PBE-GGA) data for crystalline K3H4O at its relaxed geometry, as listed in Alexandria via LeMat-Bulk.

Unit cell a=3.8419 b=4.0702 c=11.3132 alpha=95.90 beta=99.78 gamma=90.00
With the nearest neighbours (Å) after each atom.
Element x y z (fractional)
K (0.0000, 0.5000, 0.0000)  8 H 2.72-3.05, 4 O 2.80
K (0.1599, 0.1974, 0.3198)  2 H 2.77
K (0.8401, 0.8026, 0.6802)  2 H 2.77
H (0.4056, 0.1741, 0.8112)  1 H 1.18
H (0.5944, 0.8259, 0.1888)  1 H 1.18
H (0.5466, 0.9271, 0.0932)  1 O 1.11, 1 H 1.18
H (0.4534, 0.0729, 0.9068)  1 O 1.11, 1 H 1.18
O (0.5000, 0.0000, 0.0000)  2 H 1.11

- Calculated total energy: -3.11 eV/atom
- Volume: 21.67 A^3/atom
- Theoretical density: 1.3 Mg/m³
- Magnetic moment: 0.000 μB/cell
- Space-group type: C2/m (12)
- DOS at the Fermi energy: 1.027 states/eV/cell

***

First-principles (PBE-GGA) data for crystalline K3HO at its relaxed geometry, as listed in Alexandria via LeMat-Bulk.

Unit cell a=7.1842 b=6.9282 c=10.0124 alpha=90.00 beta=90.00 gamma=90.00
With the nearest neighbours (Å) after each atom.
Element x y z (fractional)
K (0.8042, 0.1943, 0.0665)  2 O 2.63-2.65, 1 H 2.86
K (0.6958, 0.6943, 0.5665)  2 O 2.63-2.65, 1 H 2.86
K (0.6958, 0.6943, 0.9335)  2 O 2.63-2.65, 1 H 2.86
K (0.1958, 0.8057, 0.5665)  2 O 2.63-2.65, 1 H 2.86
K (0.1958, 0.8057, 0.9335)  2 O 2.63-2.65, 1 H 2.86
K (0.3042, 0.3057, 0.4335)  2 O 2.63-2.65, 1 H 2.86
K (0.3042, 0.3057, 0.0665)  2 O 2.63-2.65, 1 H 2.86
K (0.8042, 0.1943, 0.4335)  2 O 2.63-2.65, 1 H 2.86
K (0.5647, 0.1251, 0.7500)  2 O 2.69, 2 H 2.88
K (0.9353, 0.6251, 0.2500)  2 O 2.69, 2 H 2.88
K (0.4353, 0.8749, 0.2500)  2 O 2.69, 2 H 2.88
K (0.0647, 0.3749, 0.7500)  2 O 2.69, 2 H 2.88
H (0.4402, 0.5202, 0.7500)  4 K 2.86-2.88
H (0.0598, 0.0202, 0.2500)  4 K 2.86-2.88
H (0.5598, 0.4798, 0.2500)  4 K 2.86-2.88
H (0.9402, 0.9798, 0.7500)  4 K 2.86-2.88
O (0.0000, 0.5000, 0.0000)  6 K 2.63-2.69
O (0.5000, 0.0000, 0.5000)  6 K 2.63-2.69
O (0.5000, 0.0000, 0.0000)  6 K 2.63-2.69
O (0.0000, 0.5000, 0.5000)  6 K 2.63-2.69

- Calculated total energy: -3.01 eV/atom
- Volume: 24.92 A^3/atom
- Theoretical density: 1.8 Mg/m³
- Magnetic moment: 0.244 μB/cell
- Space-group type: Pnma (62)
- Distance to the lowest polymorph of the same formula: 0.000 eV per formula unit
- DOS at the Fermi energy: 0.000 states/eV/cell

***

First-principles (PBE-GGA) data for crystalline K3HO at its relaxed geometry, as listed in Alexandria via LeMat-Bulk.

Unit cell a=3.7773 b=8.1224 c=8.1215 alpha=103.16 beta=90.00 gamma=90.00
With the nearest neighbours (Å) after each atom.
Element x y z (fractional)
K (0.7500, 0.5819, 0.3700)  3 O 2.78-2.90, 2 H 2.92
K (0.2500, 0.4181, 0.6300)  3 O 2.78-2.90, 2 H 2.92
K (0.7500, 0.2826, 0.0316)  2 O 2.63, 1 H 2.70
K (0.2500, 0.8906, 0.6557)  3 H 2.76-2.89, 2 O 2.78
K (0.2500, 0.7174, 0.9684)  2 O 2.63, 1 H 2.70
K (0.7500, 0.1094, 0.3443)  3 H 2.76-2.89, 2 O 2.78
H (0.2500, 0.8342, 0.3072)  6 K 2.70-2.92
H (0.7500, 0.1658, 0.6928)  6 K 2.70-2.92
O (0.2500, 0.3298, 0.2633)  7 K 2.63-2.90
O (0.7500, 0.6702, 0.7367)  7 K 2.63-2.90

- Calculated total energy: -2.98 eV/atom
- Volume: 24.26 A^3/atom
- Theoretical density: 1.8 Mg/m³
- Magnetic moment: 0.086 μB/cell
- Space-group type: P2_1/m (11)
- Distance to the lowest polymorph of the same formula: 0.144 eV per formula unit